Entry from the Alexandria database: FeNi6Rh after structural relaxation (GGA-PBEsol).

Structure (extended XYZ):
```
32
Lattice="3.519 -4.989 0.000 3.519 4.989 0.000 0.000 0.000 9.978" Properties=species:S:1:pos:R:3 pbc="T T T"
Fe 0.000 0.000 2.475
Fe 0.000 0.000 7.503
Fe 3.519 2.492 0.000
Fe 3.519 -2.492 0.000
Ni 0.000 0.000 0.000
Ni 0.000 0.000 4.989
Ni 1.737 1.259 1.220
Ni 1.737 1.259 8.758
Ni 1.730 1.235 3.708
Ni 1.730 1.235 6.270
Ni 3.519 2.512 2.452
Ni 3.519 2.512 7.526
Ni 1.730 -1.235 3.708
Ni 1.730 -1.235 6.270
Ni 1.737 -1.259 1.220
Ni 1.737 -1.259 8.758
Ni 3.519 0.000 0.000
Ni 3.519 0.000 4.989
Ni 5.302 1.259 1.220
Ni 5.302 1.259 8.758
Ni 5.309 1.235 3.708
Ni 5.309 1.235 6.270
Ni 3.519 -2.512 2.452
Ni 3.519 -2.512 7.526
Ni 5.309 -1.235 3.708
Ni 5.309 -1.235 6.270
Ni 5.302 -1.259 1.220
Ni 5.302 -1.259 8.758
Rh 3.519 2.493 4.989
Rh 3.519 0.000 2.491
Rh 3.519 0.000 7.486
Rh 3.519 -2.493 4.989
```

Calculated values
Its symmetry is Cmmm, No. 65. For the formation energy from the elements, the calculation gives -0.01 eV per atom.


Entry from the Alexandria database: FeNiRh2 after structural relaxation (GGA-PBEsol).

Structure (extended XYZ):
```
8
Lattice="3.957 0.000 0.000 0.000 2.602 0.000 0.000 0.000 9.589" Properties=species:S:1:pos:R:3 pbc="T T T"
Fe 0.000 0.000 0.000
Fe 0.000 1.301 4.794
Ni 1.978 0.000 8.339
Ni 1.978 1.301 3.545
Rh 0.000 0.000 2.517
Rh 0.000 1.301 7.311
Rh 1.978 0.000 5.841
Rh 1.978 1.301 1.047
```

Calculated values
Its symmetry is Amm2, No. 38. For the formation energy from the elements, the calculation gives 0.06 eV per atom.


Entry from the Alexandria database: FeNiRh2 after structural relaxation (GGA-PBEsol).

Structure (extended XYZ):
```
8
Lattice="3.641 0.000 0.000 0.000 3.641 0.000 0.000 0.000 7.421" Properties=species:S:1:pos:R:3 pbc="T T T"
Fe 0.000 0.000 0.000
Fe 1.821 1.821 3.710
Ni 0.000 1.821 1.855
Ni 1.821 0.000 5.565
Rh 0.000 0.000 3.710
Rh 0.000 1.821 5.565
Rh 1.821 0.000 1.855
Rh 1.821 1.821 0.000
```

Calculated values
Its symmetry is I-4m2, No. 119. For the formation energy from the elements, the calculation gives 0.01 eV per atom.


Entry from the Alexandria database: FeNiS4 after structural relaxation (GGA-PBEsol).

Structure (extended XYZ):
```
12
Lattice="5.398 0.000 0.000 0.000 5.431 0.000 -0.021 0.000 5.423" Properties=species:S:1:pos:R:3 pbc="T T T"
Fe 0.000 0.000 0.000
Fe -0.010 2.715 2.712
Ni 2.689 0.000 2.712
Ni 2.699 2.715 0.000
S 0.571 0.657 2.055
S 0.561 2.058 4.767
S 2.039 3.313 2.131
S 2.028 4.833 4.843
S 3.349 0.597 0.580
S 3.339 2.118 3.292
S 4.817 3.373 0.656
S 4.806 4.773 3.368
```

Calculated values
Its symmetry is P2_1/c, No. 14.


Entry from the Alexandria database: FeNiSb2 after structural relaxation (GGA-PBEsol).

Structure (extended XYZ):
```
8
Lattice="7.756 0.000 0.000 0.000 3.251 0.000 -1.359 0.000 5.346" Properties=species:S:1:pos:R:3 pbc="T T T"
Fe 0.000 0.000 0.000
Fe 3.878 1.625 0.000
Ni -0.679 1.625 2.673
Ni 3.198 0.000 2.673
Sb 1.597 1.625 1.318
Sb 0.922 0.000 4.028
Sb 5.474 0.000 1.318
Sb 4.800 1.625 4.028
```

Calculated values
Its symmetry is C2/m, No. 12. The energy relative to the lowest polymorph listed for this composition is 0.000 eV/atom.


Entry from the Alexandria database: FeNiSb2 after structural relaxation (GGA-PBEsol).

Structure (extended XYZ):
```
16
Lattice="6.408 0.000 0.000 0.000 6.408 0.000 0.000 0.000 6.408" Properties=species:S:1:pos:R:3 pbc="T T T"
Fe 0.000 0.000 0.000
Fe 0.000 3.204 3.204
Fe 3.204 0.000 3.204
Fe 3.204 3.204 0.000
Ni 0.000 0.000 3.204
Ni 0.000 3.204 0.000
Ni 3.204 0.000 0.000
Ni 3.204 3.204 3.204
Sb 1.602 1.602 1.602
Sb 1.602 1.602 4.806
Sb 1.602 4.806 1.602
Sb 1.602 4.806 4.806
Sb 4.806 1.602 1.602
Sb 4.806 1.602 4.806
Sb 4.806 4.806 1.602
Sb 4.806 4.806 4.806
```

Calculated values
Its symmetry is Fm-3m, No. 225. The energy relative to the lowest polymorph listed for this composition is 0.082 eV/atom.


no.,energy (eV/atom)
1,-6.763
2,-7.785
3,-7.844
4,-5.946
5,-5.873
6,-5.791